The following is a PBE calculation of crystalline Er2PuHg9 at its relaxed geometry, from Alexandria via LeMat-Bulk.

Cell: 4.7481 4.5452 13.7102 Å, 90.00 90.00 90.00°
Closest atoms and distances in Å follow each position.
Positions (direct):
Er 0.0000 0.0000 0.3373  12 Hg 3.18-3.29
Er 0.0000 0.0000 0.6627  12 Hg 3.18-3.29
Pu 0.0000 0.0000 0.0000  12 Hg 3.29-3.34
Hg 0.5000 0.5000 0.0000  8 Hg 3.27-3.36, 4 Pu 3.29
Hg 0.5000 0.5000 0.3388  8 Hg 3.17-3.28, 4 Er 3.29
Hg 0.5000 0.5000 0.6612  8 Hg 3.17-3.28, 4 Er 3.29
Hg 0.5000 0.0000 0.1716  8 Hg 3.23-3.29, 2 Er 3.29, 2 Pu 3.34
Hg 0.5000 0.0000 0.5000  8 Hg 3.17-3.29, 4 Er 3.26
Hg 0.5000 0.0000 0.8284  8 Hg 3.23-3.29, 2 Er 3.29, 2 Pu 3.34
Hg 0.0000 0.5000 0.1736  2 Er 3.19, 8 Hg 3.28-3.36, 2 Pu 3.29
Hg 0.0000 0.5000 0.5000  4 Er 3.18, 8 Hg 3.24-3.29
Hg 0.0000 0.5000 0.8264  2 Er 3.19, 8 Hg 3.28-3.36, 2 Pu 3.29

Results
Density of states at the Fermi level = 20.0 states/eV per cell
Total energy = -2.40 eV/atom
Calculated formation energy = -0.22 eV per atom

***

The following is a PBE calculation of crystalline Ca4HoGa5 at its relaxed geometry, from Alexandria via LeMat-Bulk.

Cell: 3.6582 3.6582 18.1275 Å, 90.00 90.00 90.00°
Closest atoms and distances in Å follow each position.
Positions (direct):
Ca 0.0000 0.0000 0.1981  8 Ga 3.17-3.21
Ca 0.0000 0.0000 0.3988  8 Ga 3.16-3.17
Ca 0.0000 0.0000 0.6012  8 Ga 3.16-3.17
Ca 0.0000 0.0000 0.8019  8 Ga 3.17-3.21
Ho 0.0000 0.0000 0.0000  8 Ga 3.09
Ga 0.5000 0.5000 0.0933  4 Ho 3.09, 4 Ca 3.21, 1 Ga 3.38
Ga 0.5000 0.5000 0.2989  8 Ca 3.16-3.17
Ga 0.5000 0.5000 0.5000  8 Ca 3.17
Ga 0.5000 0.5000 0.7011  8 Ca 3.16-3.17
Ga 0.5000 0.5000 0.9067  4 Ho 3.09, 4 Ca 3.21, 1 Ga 3.38

Results
Density of states at the Fermi level = 6.0 states/eV per cell
Total energy = -3.24 eV/atom
Calculated formation energy = -0.47 eV per atom

***

The following is a PBE calculation of crystalline Nd4Zn2Au5 at its relaxed geometry, from Alexandria via LeMat-Bulk.

Cell: 3.8401 7.7417 8.9285 Å, 87.24 90.00 90.00°
Closest atoms and distances in Å follow each position.
Positions (direct):
Nd 0.5000 0.7182 0.6362  6 Au 3.14-3.26, 4 Zn 3.28-3.39
Nd 0.5000 0.2234 0.8691  8 Au 3.06-3.30, 2 Zn 3.23
Nd 0.5000 0.2818 0.3638  6 Au 3.14-3.26, 4 Zn 3.28-3.39
Nd 0.5000 0.7766 0.1309  8 Au 3.06-3.30, 2 Zn 3.23
Zn 0.0000 0.0621 0.6212  1 Zn 2.41, 2 Au 2.61
Zn 0.0000 0.9379 0.3788  1 Zn 2.41, 2 Au 2.61
Au 0.0000 0.6024 0.3640  1 Zn 2.61, 1 Au 2.84
Au 0.0000 0.1229 0.1263  1 Zn 2.61
Au 0.0000 0.5000 0.0000  4 Au 3.08-3.38, 4 Nd 3.14
Au 0.0000 0.8771 0.8737  1 Zn 2.61
Au 0.0000 0.3976 0.6360  1 Zn 2.61, 1 Au 2.84

Results
Density of states at the Fermi level = 7.6 states/eV per cell
Total energy = -4.11 eV/atom
Calculated formation energy = -0.66 eV per atom

***

The following is a PBE calculation of crystalline La6NdY2 at its relaxed geometry, from Alexandria via LeMat-Bulk.

Cell: 3.7264 10.3014 10.3014 Å, 125.16 85.92 85.92°
Closest atoms and distances in Å follow each position.
Positions (direct):
La 0.8211 0.5027 0.1592  7 La 3.42-3.73, 3 Y 3.53-3.72
La 0.1789 0.4973 0.8408  7 La 3.42-3.73, 3 Y 3.53-3.72
La 0.6877 0.6682 0.6682  2 Nd 3.52-3.74, 8 La 3.64-3.73
La 0.8211 0.1592 0.5027  7 La 3.42-3.73, 3 Y 3.53-3.72
La 0.1789 0.8408 0.4973  7 La 3.42-3.73, 3 Y 3.53-3.72
La 0.3123 0.3318 0.3318  2 Nd 3.52-3.74, 8 La 3.64-3.73
Nd 0.0000 0.0000 0.0000  4 Y 3.51, 4 La 3.52-3.74, 2 Nd 3.73
Y 0.5000 0.8372 0.1628  2 Nd 3.51, 6 La 3.53-3.72, 2 Y 3.73
Y 0.5000 0.1628 0.8372  2 Nd 3.51, 6 La 3.53-3.72, 2 Y 3.73

Results
Density of states at the Fermi level = 17.7 states/eV per cell
Excess energy over the best structure of this formula in the dataset = 0.0000 eV/atom
Total energy = -5.16 eV/atom
Calculated formation energy = 0.09 eV per atom

***

The following is a PBE calculation of crystalline GdHfTl2 at its relaxed geometry, from Alexandria via LeMat-Bulk.

Cell: 5.2268 5.2268 5.2258 Å, 59.99 59.99 60.00°
Closest atoms and distances in Å follow each position.
Positions (direct):
Tl 0.7499 0.7499 0.7502  4 Hf 3.20, 4 Gd 3.20
Tl 0.2501 0.2501 0.2498  4 Hf 3.20, 4 Gd 3.20
Gd 0.0000 0.0000 0.0000  8 Tl 3.20
Hf 0.5000 0.5000 0.5000  8 Tl 3.20

Results
Density of states at the Fermi level = 4.4 states/eV per cell
Excess energy over the best structure of this formula in the dataset = 0.1032 eV/atom
Total energy = -7.19 eV/atom
Calculated formation energy = 0.00 eV per atom

***

The following is a PBE calculation of crystalline SnTeF at its relaxed geometry, from Alexandria via LeMat-Bulk.

Cell: 4.2335 4.2335 5.6134 Å, 112.15 112.15 90.00°
Closest atoms and distances in Å follow each position.
Positions (direct):
Te 0.9846 0.9846 0.9691  4 Sn 3.04, 5 F 3.24-3.35
Sn 0.5400 0.5400 0.0799  1 F 2.04
F 0.3255 0.3255 0.6509  1 Sn 2.04

Results
Density of states at the Fermi level = 1.2 states/eV per cell
Excess energy over the best structure of this formula in the dataset = 0.1855 eV/atom
Total energy = -3.95 eV/atom

***

The following is a PBE calculation of crystalline Li2CaHg at its relaxed geometry, from Alexandria via LeMat-Bulk.

Cell: 3.6651 3.6849 7.9794 Å, 62.49 90.00 90.00°
Closest atoms and distances in Å follow each position.
Positions (direct):
Ca 0.0000 0.4755 0.5246  4 Hg 3.23, 5 Li 3.28-3.50
Hg 0.5000 0.7050 0.7951  5 Li 2.81-2.93
Li 0.0000 0.0124 0.9876  4 Hg 2.93, 4 Li 2.98, 1 Ca 3.28
Li 0.5000 0.3071 0.1928  1 Hg 2.81, 4 Li 2.98

Results
Density of states at the Fermi level = 1.5 states/eV per cell
Total energy = -1.79 eV/atom
Calculated formation energy = -0.26 eV per atom

***

The following is a PBE calculation of crystalline BaFeSi2 at its relaxed geometry, from Alexandria via LeMat-Bulk.

Cell: 4.8074 4.8074 4.8074 Å, 60.00 60.00 60.00°
Closest atoms and distances in Å follow each position.
Positions (direct):
Si 0.2500 0.2500 0.2500  4 Ba 2.94, 4 Fe 2.94
Si 0.7500 0.7500 0.7500  4 Ba 2.94, 4 Fe 2.94
Ba 0.5000 0.5000 0.5000  8 Si 2.94
Fe 0.0000 0.0000 0.0000  8 Si 2.94

Results
Density of states at the Fermi level = 3.0 states/eV per cell
Total energy = -4.58 eV/atom

***

The following is a PBE calculation of crystalline ZrZnBr2 at its relaxed geometry, from Alexandria via LeMat-Bulk.

Cell: 3.4721 4.5250 8.3352 Å, 74.22 90.00 90.00°
Closest atoms and distances in Å follow each position.
Positions (direct):
Br 0.0000 0.8520 0.9201  2 Zr 2.75
Br 0.5000 0.1432 0.3389  1 Zr 2.54
Zn 0.0000 0.5197 0.5861  4 Zr 2.90-2.91
Zr 0.5000 0.9851 0.6549  3 Br 2.54-2.75

Results
Density of states at the Fermi level = 1.9 states/eV per cell
Excess energy over the best structure of this formula in the dataset = 0.0491 eV/atom
Total energy = -3.91 eV/atom

***

The following is a PBE calculation of crystalline HgPS2F at its relaxed geometry, from Alexandria via LeMat-Bulk.

Cell: 5.0041 5.0041 5.0967 Å, 90.00 90.00 90.00°
Closest atoms and distances in Å follow each position.
Positions (direct):
P 0.0000 0.0000 0.5000  2 Hg 2.55
S 0.0000 0.5000 0.0000  2 Hg 2.50
S 0.5000 0.0000 0.0000  2 Hg 2.50
Hg 0.0000 0.0000 0.0000  4 S 2.50, 2 P 2.55
F 0.5000 0.5000 0.5000  4 P 3.54, 8 S 3.57

Results
Density of states at the Fermi level = 7.7 states/eV per cell
Excess energy over the best structure of this formula in the dataset = 0.4535 eV/atom
Total energy = -2.05 eV/atom

***

The following is a PBE calculation of crystalline Be2VRu at its relaxed geometry, from Alexandria via LeMat-Bulk.

Cell: 3.9390 3.9390 3.9390 Å, 60.00 60.00 60.00°
Closest atoms and distances in Å follow each position.
Positions (direct):
Ru 0.0000 0.0000 0.0000  8 Be 2.41
Be 0.2500 0.2500 0.2500  4 Ru 2.41, 4 V 2.41
Be 0.7500 0.7500 0.7500  4 Ru 2.41, 4 V 2.41
V 0.5000 0.5000 0.5000  8 Be 2.41

Results
Density of states at the Fermi level = 3.6 states/eV per cell
Excess energy over the best structure of this formula in the dataset = 0.0000 eV/atom
Total energy = -6.61 eV/atom
Calculated formation energy = -0.15 eV per atom

***

The following is a PBE calculation of crystalline MgBePb4 at its relaxed geometry, from Alexandria via LeMat-Bulk.

Cell: 6.4276 6.4276 6.4276 Å, 60.00 60.00 60.00°
Closest atoms and distances in Å follow each position.
Positions (direct):
Mg 0.0000 0.0000 0.0000  12 Pb 3.77, 4 Be 3.94
Be 0.7500 0.7500 0.7500  12 Pb 3.77, 4 Mg 3.94
Pb 0.8749 0.3750 0.3750  6 Pb 3.21
Pb 0.3750 0.3750 0.8749  6 Pb 3.21
Pb 0.3750 0.8749 0.3750  6 Pb 3.21
Pb 0.3750 0.3750 0.3750  6 Pb 3.21

Results
Density of states at the Fermi level = 2.4 states/eV per cell
Total energy = -2.73 eV/atom
Calculated formation energy = 0.63 eV per atom

***

The following is a PBE calculation of crystalline LiAs2O4 at its relaxed geometry, from Alexandria via LeMat-Bulk.

Cell: 5.2029 5.2029 5.2029 Å, 108.08 108.08 112.30°
Closest atoms and distances in Å follow each position.
Positions (direct):
Li 0.5000 0.5000 0.0000  4 O 2.09
As 0.2500 0.7500 0.5000  4 O 1.98
As 0.7500 0.2500 0.5000  4 O 1.98
O 0.3751 0.1814 0.5566  2 As 1.98, 1 Li 2.09
O 0.8186 0.3751 0.1937  2 As 1.98, 1 Li 2.09
O 0.1814 0.6249 0.8063  2 As 1.98, 1 Li 2.09
O 0.6249 0.8186 0.4434  2 As 1.98, 1 Li 2.09

Results
Density of states at the Fermi level = 2.4 states/eV per cell
Total energy = -5.29 eV/atom